Below is K2RbMgHg after structural relaxation, with properties calculated at the PBE level.

ΔE_f (meV per atom): 68.1
E_tot (eV/atom): -0.94
SG: No. 123

Unit cell a=7.0826 b=7.0826 c=5.4530 alpha=90.00 beta=90.00 gamma=90.00
Last column: nearest neighbours and their distance in Å.
Atoms (fractional coordinates):
K (0.0000, 0.5000, 0.0000)  2 Mg 3.54
K (0.5000, 0.0000, 0.0000)  2 Mg 3.54
Rb (0.0000, 0.0000, 0.5000)  8 K 4.47
Mg (0.5000, 0.5000, 0.0000)  2 Hg 2.73
Hg (0.5000, 0.5000, 0.5000)  2 Mg 2.73